Entry 1:
A geometry-optimized CoSiSb structure. Source: the Alexandria database, functional GGA-PBE.

a = 6.0240 Å, b = 6.1920 Å, c = 6.1093 Å
α = 115.48°, β = 90.00°, γ = 90.00°
Element x y z (fractional)
Si1 0.3286 0.8688 0.6607
Si2 0.6714 0.1312 0.3393
Si3 0.1714 0.8688 0.1607
Si4 0.8286 0.1312 0.8393
Sb1 0.3822 0.3577 0.1446
Sb2 0.6178 0.6423 0.8554
Sb3 0.8822 0.6423 0.3554
Sb4 0.1178 0.3577 0.6446
Co1 0.0075 0.7955 0.8024
Co2 0.4925 0.7955 0.3024
Co3 0.9925 0.2045 0.1976
Co4 0.5075 0.2045 0.6976

Summary:
SG: P2_1/c
Formation energy (no corrections), meV/atom: -138
Volume, Å³/atom: 17.1
Uncorrected energy, eV per atom: -5.69

Entry 2:
A geometry-optimized Co2SiSb structure. Source: the Alexandria database, functional GGA-PBE.

a = 7.6054 Å, b = 7.6054 Å, c = 7.6054 Å
α = 22.57°, β = 22.57°, γ = 22.57°
Last column: magnetic moment on the atom in μB.
Element x y z (fractional)
Co1 0.0088 0.0088 0.0088  0.13
Co2 0.4912 0.4912 0.4912  0.13
Sb1 0.2500 0.2500 0.2500  0.00
Si1 0.7500 0.7500 0.7500  0.00

Summary:
SG: R-3m
Formation energy (no corrections), meV/atom: 103
E above lowest polymorph, eV per atom: 0.209
Volume, Å³/atom: 14.2
Uncorrected energy, eV per atom: -5.84

Q: Which of these has the highest formation energy (no corrections)?
A: Co2SiSb